Ba2AlI: optimized geometry, PBEsol.

extended XYZ file:
```
8
Lattice="7.703 0.108 0.184 -2.532 7.276 -0.184 -2.532 -3.729 6.250" Properties=species:S:1:pos:R:3 pbc="T T T"
I 0.000 0.000 0.000
Ba 5.770 4.140 0.850
Ba -0.614 3.181 5.357
Al -2.532 1.773 3.033
Al 1.320 -0.924 4.734
Ba -1.864 -1.372 3.883
Ba 1.987 1.360 2.410
I 1.320 4.578 1.516
```

Results
Formation energy without anion corrections (eV/atom): -0.3807
Total moment (μB/cell): 1.68

***

RbSi2H18C6N: optimized geometry, PBEsol.

extended XYZ file:
```
112
Lattice="-1.554 8.614 -1.944 -2.329 -2.628 -9.783 -11.770 -0.938 5.249" Properties=species:S:1:pos:R:3 pbc="T T T"
Si -2.643 0.293 -7.123
H -11.881 5.044 2.874
H -9.304 -2.343 -3.293
C -4.414 -2.655 -8.368
C -3.617 4.509 -9.105
H -3.651 4.986 -4.427
H -4.141 7.614 -0.673
C -4.183 2.099 -2.157
H -9.522 4.352 2.581
H -5.296 5.090 -6.470
H -12.213 3.478 -4.945
H -12.001 0.061 -2.051
C -2.778 4.660 -5.024
C -6.754 -0.444 -3.785
H -3.771 0.004 -9.353
H -6.541 -1.500 -3.543
H -6.106 5.947 -4.211
H -9.655 5.174 -1.951
Rb -13.055 5.844 -2.885
H -6.349 7.391 -3.185
H -11.658 3.634 -1.171
H -5.201 -1.886 -8.272
H -6.677 0.640 -0.743
H -7.774 5.718 0.381
Si -5.520 2.882 -1.050
H -5.998 -0.126 -4.528
C -12.838 4.628 2.516
H -12.669 0.764 1.748
H -12.598 0.333 -0.386
C -11.469 2.949 -4.321
H -6.131 0.696 -9.060
H -13.775 -1.075 -4.250
Si -7.139 5.305 -1.999
H -4.150 3.571 -9.347
H -11.013 3.688 -3.635
H -8.670 3.329 -7.129
H -2.983 4.284 -8.226
C -8.491 -1.201 -6.110
C -11.238 7.702 1.889
C -11.066 1.128 -6.703
H -2.609 3.594 -4.787
Si -10.132 2.166 -5.428
H -5.428 0.892 0.482
N -13.153 6.297 -0.019
H -4.990 6.270 -2.842
H -6.725 5.984 -7.096
H -12.011 2.195 -3.723
H -9.059 4.909 -3.618
H -5.048 0.745 -6.599
Rb -2.598 -0.796 -3.593
C -9.732 -0.229 0.887
H -6.396 4.322 -7.654
H -10.356 -0.042 -0.009
H -8.067 -2.212 -5.982
Rb -9.099 2.150 -1.740
H -11.503 1.476 2.869
H -8.048 3.380 2.304
H -0.932 1.268 -1.766
C -4.587 3.920 0.225
Si -4.841 5.924 -8.794
H -3.054 4.715 -6.093
N -2.499 -1.249 -6.460
H -14.721 3.780 -4.712
H -3.440 1.570 -1.533
C -12.035 0.539 2.626
H -1.504 0.197 0.504
H -11.483 2.759 0.379
Si -13.009 4.754 0.644
Si -10.812 -0.876 2.316
H -10.604 4.302 0.121
C -11.549 3.764 -0.077
N -8.941 1.372 -4.533
H -9.546 -0.899 -2.267
H -3.641 2.853 -2.756
H -12.891 3.577 2.853
H -4.170 2.289 -6.857
N -6.711 3.676 -1.946
C -9.430 3.641 -6.391
H -10.224 4.155 -6.960
C -2.814 0.420 -8.994
H -11.512 -2.566 -5.805
Si -8.513 -0.257 -4.480
H -9.112 6.548 -2.936
H -4.640 1.360 -2.843
H -7.878 -0.671 -6.859
C -12.874 0.388 -1.455
H -4.095 4.792 -0.241
C -4.103 1.284 -6.402
H -14.148 4.851 -6.982
H -1.878 6.123 -2.229
C -5.920 5.277 -7.365
H -13.043 1.454 -1.691
H -7.605 1.667 -8.782
C -7.161 6.249 -0.368
H -10.663 -1.222 -3.637
H -6.594 0.139 -2.860
Rb -6.554 2.898 -4.739
H -7.586 7.260 -0.497
H -9.257 0.726 1.176
C -9.610 -1.281 -3.304
C -8.898 5.492 -2.693
H -8.975 4.408 -5.736
H -8.928 -0.936 0.618
H -2.761 1.470 -9.331
H -3.994 1.414 -5.308
H -6.983 1.719 0.651
H -9.502 -1.317 -6.536
H -10.451 6.934 1.794
C -6.222 1.407 -0.088
C -6.042 6.329 -3.174
H -6.150 6.365 0.058
H -11.557 0.256 -6.237
```

Results
Raw total energy (Ha/atom): -0.1912
Total moment (μB/cell): 0.00

***

RbGaAu3: optimized geometry, PBEsol.

extended XYZ file:
```
5
Lattice="4.977 0.000 0.000 0.000 4.977 0.000 0.000 0.000 4.977" Properties=species:S:1:pos:R:3 pbc="T T T"
Au 0.000 2.488 0.000
Au 2.488 0.000 0.000
Au 0.000 0.000 2.488
Rb 2.488 2.488 2.488
Ga 0.000 0.000 0.000
```

Results
ΔH_f (0 K) (eV per atom): -0.04
Total moment (μB/cell): 0.00